DFT (GGA-PBE) results for a geometry-optimized Ti6Sb3O structure.

E_form (uncorrected), eV/atom: -0.760
ρ, g/cm3: 6.4
Crystal system: orthorhombic

a b c (Å): 4.6783 8.7817 8.7817
angles (deg): 104.78 90.00 90.00
With the nearest neighbours (Å) after each atom.
Positions (direct):
1 Ti 0.1431 0.7370 0.5909  4 Ti 2.83-3.10, 6 Sb 2.88-2.99
2 Ti 0.6431 0.5909 0.7370  4 Ti 2.83-3.10, 6 Sb 2.88-2.99
3 Ti 0.1780 0.4050 0.9302  1 O 2.04
4 Ti 0.6780 0.9302 0.4050  1 O 2.04
5 Ti 0.2104 0.0637 0.9363  1 O 1.94
6 Ti 0.6745 0.2679 0.7321  1 O 1.99
7 Ti 0.1745 0.7321 0.2679  1 O 1.99
8 Ti 0.7104 0.9363 0.0637  1 O 1.94
9 Ti 0.1780 0.0698 0.5950  1 O 2.04
10 Ti 0.6780 0.5950 0.0698  1 O 2.04
11 Ti 0.1431 0.4091 0.2630  4 Ti 2.83-3.10, 6 Sb 2.88-2.99
12 Ti 0.6431 0.2630 0.4091  4 Ti 2.83-3.10, 6 Sb 2.88-2.99
13 Sb 0.6358 0.9186 0.7245  8 Ti 2.80-3.06, 1 O 2.95
14 Sb 0.1358 0.7245 0.9186  8 Ti 2.80-3.06, 1 O 2.95
15 Sb 0.1571 0.4046 0.5954  10 Ti 2.89-3.08, 1 O 3.05
16 Sb 0.6571 0.5954 0.4046  10 Ti 2.89-3.08, 1 O 3.05
17 Sb 0.1358 0.0814 0.2755  8 Ti 2.80-3.06, 1 O 2.95
18 Sb 0.6358 0.2755 0.0814  8 Ti 2.80-3.06, 1 O 2.95
19 O 0.0295 0.1894 0.8106  4 Ti 1.94-2.04
20 O 0.5295 0.8106 0.1894  4 Ti 1.94-2.04

=====

DFT (GGA-PBE) results for a geometry-optimized PmGaBr structure.

E_form (uncorrected), eV/atom: -1.065
Polymorph energy (0 for the lowest one), eV per atom: 0.196
ρ, g/cm3: 5.1
Crystal system: triclinic

a b c (Å): 4.2664 3.8119 11.9649
angles (deg): 99.12 90.33 89.99
With the nearest neighbours (Å) after each atom.
Positions (direct):
1 Ga 0.2509 0.5302 0.5601  2 Ga 2.56
2 Ga 0.7491 0.4698 0.4399  2 Ga 2.56
3 Pm 0.2471 0.9142 0.3268  2 Br 2.87, 4 Ga 3.16
4 Pm 0.7529 0.0858 0.6732  2 Br 2.87, 4 Ga 3.16
5 Br 0.7576 0.6761 0.8543  2 Pm 2.87
6 Br 0.2424 0.3239 0.1457  2 Pm 2.87

=====

DFT (GGA-PBE) results for a geometry-optimized Pr2Ni15Ge2 structure.

Formation energy from the elements, eV/f.u.: -3.701
ρ, g/cm3: 8.6
Crystal system: trigonal

a b c (Å): 6.3773 6.3773 6.3773
angles (deg): 82.85 82.85 82.85
With the nearest neighbours (Å) after each atom.
Positions (direct):
1 Pr 0.3499 0.3499 0.3499  18 Ni 2.99-3.32, 1 Ge 3.03
2 Pr 0.6501 0.6501 0.6501  18 Ni 2.99-3.32, 1 Ge 3.03
3 Ni 0.5000 0.0000 0.0000  8 Ni 2.42, 2 Ge 2.56
4 Ni 0.0000 0.0000 0.5000  8 Ni 2.42, 2 Ge 2.56
5 Ni 0.0000 0.5000 0.0000  8 Ni 2.42, 2 Ge 2.56
6 Ni 0.0000 0.7037 0.2963  8 Ni 2.42-2.58
7 Ni 0.7037 0.2963 0.0000  8 Ni 2.42-2.58
8 Ni 0.2963 0.0000 0.7037  8 Ni 2.42-2.58
9 Ni 0.2963 0.7037 0.0000  8 Ni 2.42-2.58
10 Ni 0.7037 0.0000 0.2963  8 Ni 2.42-2.58
11 Ni 0.0000 0.2963 0.7037  8 Ni 2.42-2.58
12 Ni 0.1518 0.6586 0.6586  8 Ni 2.42-2.58, 1 Ge 2.57
13 Ni 0.6586 0.6586 0.1518  8 Ni 2.42-2.58, 1 Ge 2.57
14 Ni 0.6586 0.1518 0.6586  8 Ni 2.42-2.58, 1 Ge 2.57
15 Ni 0.8482 0.3414 0.3414  8 Ni 2.42-2.58, 1 Ge 2.57
16 Ni 0.3414 0.3414 0.8482  8 Ni 2.42-2.58, 1 Ge 2.57
17 Ni 0.3414 0.8482 0.3414  8 Ni 2.42-2.58, 1 Ge 2.57
18 Ge 0.1042 0.1042 0.1042  12 Ni 2.56-2.81, 1 Ge 2.57
19 Ge 0.8958 0.8958 0.8958  12 Ni 2.56-2.81, 1 Ge 2.57

=====

DFT (GGA-PBE) results for a geometry-optimized K3Sn8Hg3 structure.

Formation energy from the elements, eV/f.u.: -1.862
ρ, g/cm3: 6.4
Crystal system: orthorhombic

a b c (Å): 4.9856 9.6921 9.6921
angles (deg): 77.53 75.10 75.10
With the nearest neighbours (Å) after each atom.
Positions (direct):
1 K 0.5000 0.5000 0.5000  8 Sn 3.58
2 K 0.7920 0.2080 0.2080  4 Hg 3.49-3.88, 8 Sn 3.68-3.79
3 K 0.2080 0.7920 0.7920  4 Hg 3.49-3.88, 8 Sn 3.68-3.79
4 Sn 0.6585 0.0566 0.6264  3 Sn 3.05-3.11
5 Sn 0.3415 0.9434 0.3736  3 Sn 3.05-3.11
6 Sn 0.6585 0.6264 0.0566  3 Sn 3.05-3.11
7 Sn 0.3415 0.3736 0.9434  3 Sn 3.05-3.11
8 Sn 0.8675 0.7752 0.4897  3 Sn 3.05-3.11, 1 Hg 3.13
9 Sn 0.1325 0.2248 0.5103  3 Sn 3.05-3.11, 1 Hg 3.13
10 Sn 0.8675 0.4897 0.7752  3 Sn 3.05-3.11, 1 Hg 3.13
11 Sn 0.1325 0.5103 0.2248  3 Sn 3.05-3.11, 1 Hg 3.13
12 Hg 0.5000 0.0000 0.0000  4 Hg 3.10, 4 Sn 3.45
13 Hg 0.0000 0.8482 0.1518  2 Hg 3.10, 6 Sn 3.13-3.45
14 Hg 0.0000 0.1518 0.8482  2 Hg 3.10, 6 Sn 3.13-3.45

=====

DFT (GGA-PBE) results for a geometry-optimized Er2ThPd structure.

Polymorph energy (0 for the lowest one), eV per atom: 0.000
Formation energy from the elements, eV/f.u.: -1.731
ρ, g/cm3: 10.7
Crystal system: tetragonal

a b c (Å): 3.5417 3.5417 8.3205
angles (deg): 90.00 90.00 90.00
With the nearest neighbours (Å) after each atom.
Positions (direct):
1 Pd 0.5000 0.5000 0.0000  8 Er 3.01
2 Th 0.5000 0.5000 0.5000  8 Er 3.53, 4 Th 3.54
3 Er 0.0000 0.0000 0.7988  4 Pd 3.01, 1 Er 3.35
4 Er 0.0000 0.0000 0.2012  4 Pd 3.01, 1 Er 3.35

=====

DFT (GGA-PBE) results for a geometry-optimized Ba2BeAg structure.

Formation energy from the elements, eV/f.u.: 1.912
ρ, g/cm3: 4.2
Crystal system: tetragonal

a b c (Å): 8.7709 8.7709 7.3897
angles (deg): 53.60 53.60 90.00
With the nearest neighbours (Å) after each atom.
Positions (direct):
1 Be 0.5000 0.5000 0.0000  4 Ba 3.17
2 Be 0.2500 0.7500 0.5000  4 Ba 3.17
3 Ba 0.6099 0.1250 0.2500  2 Be 3.17, 2 Ag 3.35
4 Ba 0.1401 0.6250 0.2500  2 Be 3.17, 2 Ag 3.35
5 Ba 0.3750 0.3901 0.7500  2 Be 3.17, 2 Ag 3.35
6 Ba 0.8750 0.8599 0.7500  2 Be 3.17, 2 Ag 3.35
7 Ag 0.0000 0.0000 0.0000  4 Ba 3.35
8 Ag 0.7500 0.2500 0.5000  4 Ba 3.35

=====

Which value of ρ does entry 4 give?
6.4 g/cm3

=====

Number 4 is which compound?
K3Sn8Hg3

=====

The highest ρ belongs to which entry?
Er2ThPd

=====

Among the records above, which one has the lowest ρ?
Ba2BeAg